[1]
CoSeS | PBE | relaxed

Cell: 10.0229 10.0229 5.5298 Å, 90.00 90.00 161.08°
Site moments in Bohr magnetons follow the coordinates.
Element x y z (fractional)
S 0.9287 0.0713 0.7310  0.00
Se 0.4350 0.5650 0.2627  0.01
S 0.0713 0.9287 0.7310  0.00
Se 0.5650 0.4350 0.2627  0.01
Co 0.0000 0.0000 0.0406  0.64
Co 0.5000 0.5000 0.6281  0.15

The total magnetization comes out at 0.43 μB per formula unit. Its density is 3134 kg/m3. As for the total energy: -5.058 eV per atom.


[2]
Cs3NaZn2Ge21 | PBE | relaxed

Cell: 10.9161 10.9105 10.9105 Å, 90.00 90.00 90.00°
Element x y z (fractional)
Ge 0.0683 0.4318 0.5687
Ge 0.4469 0.7499 0.1329
Ge 0.0687 0.0667 0.5666
Ge 0.4398 0.7501 0.3704
Ge 0.7500 0.6298 0.5603
Ge 0.5683 0.5687 0.4318
Ge 0.2500 0.5603 0.6298
Zn 0.7500 0.5000 0.7502
Ge 0.5602 0.3704 0.7501
Ge 0.9398 0.3704 0.7501
Ge 0.1320 0.2500 0.4420
Ge 0.5531 0.1329 0.7499
Ge 0.7500 0.6305 0.9395
Ge 0.4317 0.4318 0.5687
Ge 0.0531 0.7499 0.1329
Ge 0.9332 0.9347 0.0672
Ge 0.4339 0.4314 0.9330
Ge 0.4332 0.0672 0.9347
Ge 0.2500 0.7502 0.0000
Cs 0.5000 0.7486 0.7486
Ge 0.0661 0.4314 0.9330
Ge 0.7500 0.8666 0.9463
Na 0.7500 0.7486 0.2512
Zn 0.2500 0.7502 0.5000
Ge 0.9317 0.5687 0.4318
Ge 0.5687 0.5666 0.0667
Cs 0.7500 0.2513 0.4980
Ge 0.4313 0.0667 0.5666
Ge 0.6320 0.4420 0.2500
Ge 0.9339 0.9330 0.4314
Cs 0.0000 0.7486 0.7486
Ge 0.2500 0.9395 0.6305
Ge 0.6323 0.0580 0.2500
Ge 0.3680 0.2500 0.4420
Cs 0.2500 0.0020 0.2513
Ge 0.8677 0.0580 0.2500
Ge 0.2500 0.9463 0.8666
Ge 0.0668 0.0672 0.9347
Cs 0.7500 0.2513 0.0020
Ge 0.7500 0.8670 0.5532
Ge 0.5661 0.9330 0.4314
Zn 0.5000 0.2500 0.2500
Ge 0.5668 0.9347 0.0672
Ge 0.0602 0.7501 0.3704
Ge 0.9313 0.5666 0.0667
Ge 0.7500 0.0000 0.7502
Ge 0.8680 0.4420 0.2500
Zn 0.0000 0.2500 0.2500
Ge 0.2500 0.5532 0.8670
Ge 0.9469 0.1329 0.7499
Na 0.2500 0.2512 0.7486
Ge 0.3677 0.2500 0.0580
Ge 0.1323 0.2500 0.0580
Cs 0.2500 0.4980 0.2513

Its density is 5311 kg/m3. As for the total energy: -3.975 eV per atom.


[3]
NdAlPt | PBE | relaxed

Cell: 4.9428 4.9428 6.0030 Å, 90.00 90.00 120.00°
Element x y z (fractional)
Nd 0.3333 0.6667 0.7500
Al 0.6667 0.3333 0.7500
Pt 0.0000 0.0000 0.0000
Nd 0.6667 0.3333 0.2500
Al 0.3333 0.6667 0.2500
Pt 0.0000 0.0000 0.5000

The total magnetization comes out at 0.01 μB per formula unit. Its density is 9578 kg/m3. As for the total energy: -5.218 eV per atom.


[4]
LiCd12 | PBE | relaxed

Cell: 5.7581 5.7581 9.9806 Å, 90.00 90.00 120.00°
Element x y z (fractional)
Cd 0.0000 0.0000 0.6460
Cd 0.3333 0.6667 0.5000
Cd 0.5000 0.5000 0.2436
Cd 0.5000 0.5000 0.7564
Cd 0.0000 0.0000 0.3540
Cd 0.0000 0.5000 0.2436
Li 0.0000 0.0000 0.0000
Cd 0.6667 0.3333 0.5000
Cd 0.5000 0.0000 0.7564
Cd 0.6667 0.3333 0.0000
Cd 0.5000 0.0000 0.2436
Cd 0.0000 0.5000 0.7564
Cd 0.3333 0.6667 0.0000

Its density is 7856 kg/m3. As for the total energy: -0.958 eV per atom.


[5]
HfCuTcAs | PBE | relaxed

Cell: 4.5160 4.5160 4.5160 Å, 60.00 60.00 60.00°
Element x y z (fractional)
As 0.0000 0.0000 0.0000
Tc 0.5000 0.5000 0.5000
Hf 0.2500 0.2500 0.2500
Cu 0.7500 0.7500 0.7500

The total magnetization comes out at 0.58 μB per formula unit. Its polymorph energy (0 for the lowest one) is 184 meV per atom. Its density is 10581 kg/m3.


[6]
Ta2BeW | PBE | relaxed

Cell: 4.4653 4.4653 4.4653 Å, 60.00 60.00 60.00°
Element x y z (fractional)
Ta 0.0000 0.0000 0.0000
W 0.2500 0.2500 0.2500
Ta 0.7500 0.7500 0.7500
Be 0.5000 0.5000 0.5000

The total magnetization comes out at 0.00 μB per formula unit. Its density is 14632 kg/m3. As for the total energy: -9.824 eV per atom.


[7]
TlCdAg | PBE | relaxed

Cell: 4.7898 4.7898 4.7898 Å, 60.00 60.00 60.00°
Element x y z (fractional)
Tl 0.7500 0.7500 0.7500
Cd 0.2500 0.2500 0.2500
Ag 0.0000 0.0000 0.0000

Its polymorph energy (0 for the lowest one) is 0 meV per atom. Its density is 9075 kg/m3.


[8]
HfPdAu | PBE | relaxed

Cell: 3.5084 3.5084 8.7100 Å, 90.00 90.00 90.00°
Element x y z (fractional)
Au 0.0000 0.0000 0.8335
Au 0.0000 0.0000 0.1665
Hf 0.0000 0.0000 0.5000
Pd 0.5000 0.5000 0.3379
Hf 0.5000 0.5000 0.0000
Pd 0.5000 0.5000 0.6621

The total magnetization comes out at 0.01 μB per formula unit. Its polymorph energy (0 for the lowest one) is 24 meV per atom. Its density is 14927 kg/m3. Its formation energy from the elements is -0.760 eV per atom.


[9]
HgIrOs | PBE | relaxed

Cell: 4.3257 4.3257 4.3257 Å, 60.00 60.00 60.00°
Element x y z (fractional)
Hg 0.2500 0.2500 0.2500
Os 0.7500 0.7500 0.7500
Ir 0.0000 0.0000 0.0000

The total magnetization comes out at 0.09 μB per formula unit. Its polymorph energy (0 for the lowest one) is 0 meV per atom. Its density is 16915 kg/m3. Its formation energy from the elements is 0.945 eV per atom.


[10]
Ho4CI3Br2 | PBE | relaxed

Cell: 9.3047 9.3047 8.5130 Å, 102.36 102.36 24.20°
Site moments in Bohr magnetons follow the coordinates.
Element x y z (fractional)
Ho 0.9985 0.9985 0.1889  0.03
I 0.8312 0.8312 0.6594  0.00
Ho 0.0015 0.0015 0.8111  0.03
Ho 0.3658 0.3658 0.9369  0.08
I 0.1688 0.1688 0.3406  0.00
C 0.5000 0.5000 0.0000  0.00
Br 0.1672 0.1672 0.8388  0.00
I 0.5000 0.5000 0.5000  0.00
Ho 0.6342 0.6342 0.0631  0.08
Br 0.8328 0.8328 0.1612  0.00

The total magnetization comes out at 0.35 μB per formula unit. Its polymorph energy (0 for the lowest one) is 9 meV per atom. Its density is 6828 kg/m3.


[11]
Er2Fe12P7 | PBE | relaxed

Cell: 8.8915 8.8924 3.6182 Å, 90.00 90.00 119.99°
Element x y z (fractional)
Fe 0.7265 0.8804 0.0000
P 0.8872 0.5891 0.0000
P 0.9999 0.9998 0.0000
P 0.7019 0.1127 0.0000
Fe 0.0494 0.6165 0.5000
Fe 0.5672 0.9506 0.5000
Fe 0.6304 0.5738 0.0000
P 0.4108 0.2981 0.0000
Fe 0.1196 0.8462 0.0000
Fe 0.3834 0.4328 0.5000
Fe 0.8837 0.7884 0.5000
Fe 0.2116 0.0953 0.5000
P 0.1111 0.4008 0.5000
Fe 0.9434 0.3696 0.0000
Fe 0.1541 0.2738 0.0000
P 0.5993 0.7103 0.5000
Er 0.6667 0.3333 0.5000
P 0.2897 0.8889 0.5000
Fe 0.4262 0.0566 0.0000
Er 0.3333 0.6666 0.0000
Fe 0.9046 0.1162 0.5000

The total magnetization comes out at 0.05 μB per formula unit. Its density is 8186 kg/m3. As for the total energy: -7.709 eV per atom.


[12]
SmTlFe | PBE | relaxed

Cell: 4.8643 4.8643 4.8643 Å, 60.00 60.00 60.00°
Element x y z (fractional)
Tl 0.7500 0.7500 0.7500
Fe 0.2500 0.2500 0.2500
Sm 0.0000 0.0000 0.0000

The total magnetization comes out at 2.37 μB per formula unit. Its density is 8377 kg/m3. As for the total energy: -4.340 eV per atom.


[13]
Na4AlSiIr2 | PBE | relaxed

Cell: 4.5296 4.5296 6.4089 Å, 90.00 90.00 90.00°
Element x y z (fractional)
Ir 0.5000 0.0000 0.2642
Na 0.5000 0.0000 0.7489
Na 0.0000 0.0000 0.5000
Al 0.0000 0.0000 0.0000
Na 0.5000 0.5000 0.0000
Ir 0.0000 0.5000 0.7358
Si 0.5000 0.5000 0.5000
Na 0.0000 0.5000 0.2511

The total magnetization comes out at 0.00 μB per formula unit. Its density is 6711 kg/m3. As for the total energy: -3.872 eV per atom.


[14]
RbDyHo | PBE | relaxed

Cell: 5.9280 5.9280 5.9280 Å, 60.00 60.00 60.00°
Site moments in Bohr magnetons follow the coordinates.
Element x y z (fractional)
Ho 0.2500 0.2500 0.2500  0.23
Rb 0.7500 0.7500 0.7500  0.02
Dy 0.0000 0.0000 0.0000  0.26

The total magnetization comes out at 0.88 μB per formula unit. Its density is 4655 kg/m3. As for the total energy: -2.127 eV per atom.


[15]
SiHgAsO | PBE | relaxed

Cell: 4.3383 4.3383 8.3615 Å, 90.00 90.00 90.00°
Element x y z (fractional)
Si 0.2500 0.7500 0.5000
Hg 0.7500 0.7500 0.9143
Hg 0.2500 0.2500 0.0857
O 0.2500 0.7500 0.0000
As 0.7500 0.7500 0.3373
O 0.7500 0.2500 0.0000
Si 0.7500 0.2500 0.5000
As 0.2500 0.2500 0.6627

Its polymorph energy (0 for the lowest one) is 1062 meV per atom. Its density is 6745 kg/m3.


[16]
Hf2Nb4Au3N3 | PBE | relaxed

Cell: 5.6021 5.6021 13.8796 Å, 101.72 101.72 60.21°
Element x y z (fractional)
Nb 0.3075 0.1332 0.4216
Hf 0.6295 0.4654 0.3989
Au 0.2010 0.4185 0.2513
Nb 0.8137 0.9670 0.9217
Nb 0.6925 0.8668 0.5784
Au 0.0387 0.9613 0.7500
Hf 0.5346 0.3705 0.1011
Hf 0.3705 0.5346 0.6011
Nb 0.1332 0.3075 0.9216
Au 0.9613 0.0387 0.2500
Nb 0.9670 0.8137 0.4217
Au 0.5815 0.7990 0.2487
Nb 0.0330 0.1863 0.5783
N 0.0000 0.5000 0.5000
N 0.6506 0.1985 0.5001
Nb 0.1863 0.0330 0.0783
N 0.1985 0.6506 0.0001
Nb 0.8668 0.6925 0.0784
N 0.5000 0.0000 0.0000
Hf 0.4654 0.6295 0.8989
Au 0.7990 0.5815 0.7487
Au 0.4185 0.2010 0.7513
N 0.3494 0.8015 0.4999
N 0.8015 0.3494 0.9999

The total magnetization comes out at 0.00 μB per formula unit. Its density is 12305 kg/m3. As for the total energy: -8.714 eV per atom.


[17]
TbAl5Ag7 | PBE | relaxed

Cell: 7.0669 7.0669 7.0669 Å, 135.13 97.73 99.02°
Element x y z (fractional)
Al 0.4936 0.4993 0.4972
Al 0.0020 0.9964 0.5028
Al 0.7768 0.2768 0.5000
Ag 0.6662 0.6662 0.0000
Ag 0.7880 0.4934 0.2946
Al 0.4936 0.9964 0.9944
Ag 0.2217 0.7217 0.5000
Ag 0.3463 0.3463 0.0000
Tb 0.0005 0.0005 0.0000
Ag 0.6616 0.0051 0.6564
Ag 0.1988 0.4934 0.7054
Ag 0.3487 0.0051 0.3436
Al 0.0020 0.4993 0.0056

The total magnetization comes out at 0.02 μB per formula unit. Its density is 7569 kg/m3. As for the total energy: -3.530 eV per atom.


[18]
GdTm2Al3FeCu2 | PBE | relaxed

Cell: 4.0855 6.8635 6.8635 Å, 119.90 90.00 90.00°
Element x y z (fractional)
Tm 0.0000 0.5915 0.0008
Al 0.5000 0.7715 0.7715
Al 0.5000 0.2277 0.9984
Cu 0.5000 0.3317 0.6713
Al 0.5000 0.9984 0.2277
Gd 0.0000 0.4126 0.4126
Tm 0.0000 0.0008 0.5915
Cu 0.5000 0.6713 0.3317
Fe 0.0000 0.9945 0.9945

The total magnetization comes out at 0.02 μB per formula unit. Its density is 7554 kg/m3. As for the total energy: -4.886 eV per atom.


[19]
UTaIr | PBE | relaxed

Cell: 4.5353 4.5353 4.5353 Å, 60.00 60.00 60.00°
Element x y z (fractional)
Ir 0.0000 0.0000 0.0000
Ta 0.7500 0.7500 0.7500
U 0.2500 0.2500 0.2500

The total magnetization comes out at 2.32 μB per formula unit. Its polymorph energy (0 for the lowest one) is 0 meV per atom. Its density is 15386 kg/m3. Its formation energy from the elements is 0.226 eV per atom.


[20]
Y2ErBi3 | PBE | relaxed

Cell: 4.4573 4.4573 10.9244 Å, 90.00 90.00 120.00°
Element x y z (fractional)
Y 0.3333 0.6667 0.8332
Er 0.0000 0.0000 0.5000
Y 0.6667 0.3333 0.1668
Bi 0.6667 0.3333 0.6647
Bi 0.3333 0.6667 0.3353
Bi 0.0000 0.0000 0.0000

The total magnetization comes out at 0.00 μB per formula unit. Its density is 8587 kg/m3. As for the total energy: -5.823 eV per atom.